# 1
Entry from Alexandria: an optimized crystal structure of CsTe2H (PBE-GGA).

```
data_CsTe2H
_chemical_formula_sum 'Cs1 Te2 H1'
_space_group_name_H-M_alt 'P 1'
_space_group_IT_number 1
_space_group_name_Hall 'P 1'
_cell_length_a 5.8851
_cell_length_b 5.8851
_cell_length_c 5.8851
_cell_angle_alpha 60.00
_cell_angle_beta 60.00
_cell_angle_gamma 60.00
loop_
_atom_site_label
_atom_site_fract_x
_atom_site_fract_y
_atom_site_fract_z
Cs1 0.0000 0.0000 0.0000
Te1 0.2500 0.2500 0.2500
Te2 0.7500 0.7500 0.7500
H1 0.5000 0.5000 0.5000
```

Computed properties:
- Final energy: -7.782 eV/cell
- Volume: 144.13 Å³ per cell
- D(E_F): 5.3 states/eV/cell
- Magnetization: 0.1543 μB/atom
- Excess energy over the best structure of this formula in the dataset: 1005 meV/atom

---

# 2
Entry from Alexandria: an optimized crystal structure of Cs12Te3H5 (PBE-GGA).

```
data_Cs12Te3H5
_chemical_formula_sum 'Cs48 Te12 H20'
_space_group_name_H-M_alt 'P 1'
_space_group_IT_number 1
_space_group_name_Hall 'P 1'
_cell_length_a 17.3570
_cell_length_b 17.3570
_cell_length_c 17.3570
_cell_angle_alpha 109.47
_cell_angle_beta 109.47
_cell_angle_gamma 109.47
loop_
_atom_site_label
_atom_site_fract_x
_atom_site_fract_y
_atom_site_fract_z
Cs1 0.0281 0.2082 0.1242
Cs2 0.0281 0.3199 0.9039
Cs3 0.0840 0.7082 0.6801
Cs4 0.0840 0.8758 0.4039
Cs5 0.0961 0.6242 0.4160
Cs6 0.0961 0.9719 0.6801
Cs7 0.1242 0.0281 0.2082
Cs8 0.1242 0.5961 0.9160
Cs9 0.1801 0.2082 0.5840
Cs10 0.1801 0.4719 0.5961
Cs11 0.2082 0.1242 0.0281
Cs12 0.2082 0.5840 0.1801
Cs13 0.2918 0.3199 0.9160
Cs14 0.2918 0.4719 0.3758
Cs15 0.3199 0.9039 0.0281
Cs16 0.3199 0.9160 0.2918
Cs17 0.3758 0.2918 0.4719
Cs18 0.3758 0.5840 0.9039
Cs19 0.4039 0.0840 0.8758
Cs20 0.4039 0.8199 0.5281
Cs21 0.4160 0.0961 0.6242
Cs22 0.4160 0.8199 0.7918
Cs23 0.4719 0.3758 0.2918
Cs24 0.4719 0.5961 0.1801
Cs25 0.5281 0.4039 0.8199
Cs26 0.5281 0.6242 0.7082
Cs27 0.5840 0.1801 0.2082
Cs28 0.5840 0.9039 0.3758
Cs29 0.5961 0.1801 0.4719
Cs30 0.5961 0.9160 0.1242
Cs31 0.6242 0.4160 0.0961
Cs32 0.6242 0.7082 0.5281
Cs33 0.6801 0.0840 0.7082
Cs34 0.6801 0.0961 0.9719
Cs35 0.7082 0.5281 0.6242
Cs36 0.7082 0.6801 0.0840
Cs37 0.7918 0.4160 0.8199
Cs38 0.7918 0.8758 0.9719
Cs39 0.8199 0.5281 0.4039
Cs40 0.8199 0.7918 0.4160
Cs41 0.8758 0.4039 0.0840
Cs42 0.8758 0.9719 0.7918
Cs43 0.9039 0.0281 0.3199
Cs44 0.9039 0.3758 0.5840
Cs45 0.9160 0.1242 0.5961
Cs46 0.9160 0.2918 0.3199
Cs47 0.9719 0.6801 0.0961
Cs48 0.9719 0.7918 0.8758
Te1 0.1250 0.2500 0.3750
Te2 0.1250 0.3750 0.7500
Te3 0.2500 0.3750 0.1250
Te4 0.2500 0.8750 0.6250
Te5 0.3750 0.1250 0.2500
Te6 0.3750 0.7500 0.1250
Te7 0.6250 0.2500 0.8750
Te8 0.6250 0.8750 0.7500
Te9 0.7500 0.1250 0.3750
Te10 0.7500 0.6250 0.8750
Te11 0.8750 0.6250 0.2500
Te12 0.8750 0.7500 0.6250
H1 0.0000 0.0000 0.0000
H2 0.0000 0.0000 0.5000
H3 0.0000 0.5000 0.0000
H4 0.0000 0.5000 0.5000
H5 0.1250 0.7500 0.8750
H6 0.1250 0.8750 0.2500
H7 0.2500 0.1250 0.8750
H8 0.2500 0.6250 0.3750
H9 0.3750 0.2500 0.6250
H10 0.3750 0.6250 0.7500
H11 0.5000 0.0000 0.0000
H12 0.5000 0.0000 0.5000
H13 0.5000 0.5000 0.0000
H14 0.5000 0.5000 0.5000
H15 0.6250 0.3750 0.2500
H16 0.6250 0.7500 0.3750
H17 0.7500 0.3750 0.6250
H18 0.7500 0.8750 0.1250
H19 0.8750 0.1250 0.7500
H20 0.8750 0.2500 0.1250
```

Computed properties:
- Final energy: -184.795 eV/cell
- Volume: 4025.33 Å³ per cell
- D(E_F): 32.2 states/eV/cell
- Magnetization: 0.0001 μB/atom

---

# 3
Entry from Alexandria: an optimized crystal structure of Cs3TeH (PBE-GGA).

```
data_Cs3TeH
_chemical_formula_sum 'Cs6 Te2 H2'
_space_group_name_H-M_alt 'P 1'
_space_group_IT_number 1
_space_group_name_Hall 'P 1'
_cell_length_a 6.0336
_cell_length_b 8.3045
_cell_length_c 10.5641
_cell_angle_alpha 112.46
_cell_angle_beta 106.58
_cell_angle_gamma 90.02
loop_
_atom_site_label
_atom_site_fract_x
_atom_site_fract_y
_atom_site_fract_z
Cs1 0.0000 0.0000 0.0000
Cs2 0.9999 0.4999 0.0000
Cs3 0.2070 0.3097 0.4158
Cs4 0.3848 0.1429 0.7697
Cs5 0.6144 0.8557 0.2295
Cs6 0.7917 0.6891 0.5839
Te1 0.4042 0.6586 0.8091
Te2 0.5948 0.3403 0.1905
H1 0.1338 0.9071 0.2681
H2 0.8659 0.0918 0.7320
```

Computed properties:
- Final energy: -24.622 eV/cell
- Volume: 465.24 Å³ per cell
- D(E_F): 0.0 states/eV/cell
- Magnetization: 0.0000 μB/atom
- Excess energy over the best structure of this formula in the dataset: 31 meV/atom